Here is an optimized crystal structure of ScCdNi2 from Alexandria via LeMat-Bulk. Energies are from PBE-GGA.

Structure (POSCAR):
```
ScCdNi2
1.0
3.189 0.000 0.000
0.000 3.357 0.000
0.000 0.000 5.954
Sc Cd Ni
1 1 2
Direct
0.000 0.000 0.000
0.500 0.500 0.660
0.000 0.000 0.420
0.500 0.500 0.211
```

Computed properties:
Density in g/cm³: 7.16
Energy relative to the elements in kJ/mol of atoms: -16
Final energy in eV per atom: -4.86